Density functional theory data (PBE-GGA) for Ga2Co2Re after structural relaxation.

Cell: 6.9055 6.9055 2.6882 Å, 90.00 90.00 90.00°
Each line ends with the local moment (μB).
Fractional coordinates of all 10 atoms:
Ga 0.6706 0.8294 0.5000  -0.01
Ga 0.8294 0.3294 0.5000  -0.01
Ga 0.1706 0.6706 0.5000  -0.01
Ga 0.3294 0.1706 0.5000  -0.01
Re 0.5000 0.5000 0.0000  0.17
Re 0.0000 0.0000 0.0000  0.17
Co 0.1260 0.3740 0.0000  0.25
Co 0.6260 0.1260 0.0000  0.24
Co 0.8740 0.6260 0.0000  0.25
Co 0.3740 0.8740 0.0000  0.24

Formation enthalpy at 0 K   57 kJ/mol of formula units
Size of the total moment   1.33 Bohr magnetons per cell
DFT total energy   -6.425 eV/atom
Energy relative to the lowest polymorph listed for this composition   108 meV per atom